# InHg3Pb

InHg3Pb after structural relaxation (PBE, the Alexandria database).

Spin magnetization (μB/f.u.): 0.00
N(E_F) (states/eV per cell): 4.0
Energy above the lowest structure with this stoichiometry (meV per atom): 0
Final energy (eV/atom): -1.4411

a b c (Å): 3.6995 9.9397 7.7331
angles (deg): 102.75 90.00 100.73
Positions (direct):
Hg  0.4026  0.8052  0.9267
Hg  0.7874  0.5747  0.6667
Hg  0.5974  0.1948  0.0733
In  0.1887  0.3773  0.8697
Hg  0.2126  0.4253  0.3333
Hg  0.9888  0.9776  0.2408
In  0.8113  0.6227  0.1303
Hg  0.0111  0.0223  0.7591
Pb  0.6045  0.2091  0.5219
Pb  0.3955  0.7909  0.4781